Entry 1:
Computed, not measured: crystalline Be3TlN at its relaxed geometry at the GGA-PBE level of DFT.

Calculated values
Fermi-level density of states in states/eV/f.u.: 1.73
Raw formation energy in eV/f.u.: 10.08
Distance to the lowest polymorph of the same formula in meV per atom: 1689
M_tot in μB/atom: 0.40

Cell: 4.544 4.544 4.544 Å, 90.00 90.00 90.00°
Last column: magnetic moment on the atom in μB.
Positions (direct):
Tl1 0.000 0.000 0.000  0.08
Be1 0.000 0.500 0.000  0.01
Be2 0.500 0.000 0.000  0.00
Be3 0.000 0.000 0.500  0.00
N1 0.500 0.500 0.500  1.37



Entry 2:
Computed, not measured: crystalline BeTlN2 at its relaxed geometry at the GGA-PBE level of DFT.

Calculated values
Fermi-level density of states in states/eV/f.u.: 2.13
Raw formation energy in eV/f.u.: 1.83
Distance to the lowest polymorph of the same formula in meV per atom: 0
M_tot in μB/atom: 0.23

Cell: 4.579 4.579 5.616 Å, 65.94 65.94 90.00°
Last column: magnetic moment on the atom in μB.
Positions (direct):
N1 0.875 0.777 0.750  0.32
N2 0.223 0.625 0.250  0.33
N3 0.527 0.125 0.250  0.33
N4 0.375 0.473 0.750  0.32
Be1 0.500 0.500 0.000  0.00
Be2 0.250 0.750 0.500  0.00
Tl1 0.000 0.000 0.000  0.04
Tl2 0.750 0.250 0.500  0.04



Entry 3:
Computed, not measured: crystalline BeTl2VN at its relaxed geometry at the GGA-PBE level of DFT.

Calculated values
Fermi-level density of states in states/eV/f.u.: 5.00
Raw formation energy in eV/f.u.: 9.21
M_tot in μB/atom: 0.37

Cell: 5.397 4.307 5.397 Å, 90.00 90.00 90.00°
Last column: magnetic moment on the atom in μB.
Positions (direct):
Tl1 0.000 0.000 0.500  -0.01
Tl2 0.500 0.000 0.000  -0.02
V1 0.000 0.000 0.000  -0.35
Be1 0.000 0.500 0.000  0.02
N1 0.500 0.500 0.500  1.59



Entry 4:
Computed, not measured: crystalline Y2BeTlN at its relaxed geometry at the GGA-PBE level of DFT.

Calculated values
Fermi-level density of states in states/eV/f.u.: 1.37
Raw formation energy in eV/f.u.: -3.19
M_tot in μB/atom: 0.00

Cell: 5.123 5.123 3.539 Å, 90.00 90.00 90.00°
Positions (direct):
Be1 0.000 0.000 0.500
N1 0.000 0.000 0.000
Y1 0.000 0.500 0.000
Y2 0.500 0.000 0.000
Tl1 0.500 0.500 0.500



Entry 5:
Computed, not measured: crystalline TmBeN at its relaxed geometry at the GGA-PBE level of DFT.

Calculated values
Fermi-level density of states in states/eV/f.u.: 1.54
Raw formation energy in eV/f.u.: -1.39
M_tot in μB/atom: 0.07

Cell: 3.175 3.175 9.118 Å, 79.97 79.97 60.00°
Last column: magnetic moment on the atom in μB.
Positions (direct):
N1 0.690 0.690 0.931  -0.01
N2 0.811 0.811 0.568  0.01
Tm1 0.303 0.303 0.091  0.24
Tm2 0.074 0.074 0.778  0.14
Be1 0.553 0.553 0.340  0.02
Be2 0.166 0.166 0.501  0.01



Entry 6:
Computed, not measured: crystalline Tm3BeN at its relaxed geometry at the GGA-PBE level of DFT.

Calculated values
Fermi-level density of states in states/eV/f.u.: 4.70
Raw formation energy in eV/f.u.: -3.05
M_tot in μB/atom: 0.00

Cell: 4.645 4.645 4.645 Å, 90.00 90.00 90.00°
Positions (direct):
Tm1 0.000 0.000 0.500
Tm2 0.500 0.000 0.000
Tm3 0.000 0.500 0.000
Be1 0.500 0.500 0.500
N1 0.000 0.000 0.000



Entry 7:
Computed, not measured: crystalline Tm2BeWN5 at its relaxed geometry at the GGA-PBE level of DFT.

Calculated values
Fermi-level density of states in states/eV/f.u.: 2.87
Raw formation energy in eV/f.u.: -8.45
M_tot in μB/atom: 0.00

Cell: 3.102 6.787 9.513 Å, 90.00 90.00 103.21°
Positions (direct):
W1 0.792 0.583 0.509
W2 0.208 0.417 0.009
N1 0.499 0.997 0.784
N2 0.501 0.003 0.284
N3 0.297 0.594 0.651
N4 0.952 0.905 0.517
N5 0.301 0.602 0.367
N6 0.703 0.406 0.151
N7 0.048 0.095 0.017
N8 0.699 0.398 0.867
N9 0.360 0.719 0.009
N10 0.640 0.281 0.509
Tm1 0.876 0.752 0.811
Tm2 0.112 0.223 0.701
Tm3 0.888 0.777 0.201
Tm4 0.124 0.248 0.311
Be1 0.504 0.008 0.975
Be2 0.496 0.992 0.475



Entry 8:
Computed, not measured: crystalline Be3V3N at its relaxed geometry at the GGA-PBE level of DFT.

Calculated values
Fermi-level density of states in states/eV/f.u.: 4.95
Raw formation energy in eV/f.u.: -4.01
M_tot in μB/atom: 0.00

Cell: 7.353 7.353 7.353 Å, 60.00 60.00 60.00°
Positions (direct):
Be1 0.828 0.828 0.828
Be2 0.734 0.422 0.422
Be3 0.422 0.422 0.422
Be4 0.625 0.625 0.125
Be5 0.828 0.516 0.828
Be6 0.625 0.625 0.625
Be7 0.125 0.625 0.625
Be8 0.828 0.828 0.516
Be9 0.422 0.734 0.422
Be10 0.625 0.125 0.625
Be11 0.422 0.422 0.734
Be12 0.516 0.828 0.828
N1 0.125 0.125 0.125
N2 0.625 0.125 0.125
N3 0.125 0.625 0.125
N4 0.125 0.125 0.625
V1 0.438 0.438 0.062
V2 0.438 0.062 0.438
V3 0.188 0.812 0.188
V4 0.812 0.188 0.188
V5 0.062 0.062 0.438
V6 0.438 0.062 0.062
V7 0.812 0.812 0.188
V8 0.188 0.812 0.812
V9 0.062 0.438 0.438
V10 0.188 0.188 0.812
V11 0.062 0.438 0.062
V12 0.812 0.188 0.812



Entry 9:
Computed, not measured: crystalline BeVN2 at its relaxed geometry at the GGA-PBE level of DFT.

Calculated values
Fermi-level density of states in states/eV/f.u.: 2.39
Raw formation energy in eV/f.u.: 1.45
M_tot in μB/atom: 0.00

Cell: 5.579 5.579 5.579 Å, 29.97 29.97 29.97°
Positions (direct):
Be1 0.500 0.500 0.500
N1 0.888 0.888 0.888
N2 0.112 0.112 0.112
V1 0.000 0.000 0.000



Entry 10:
Computed, not measured: crystalline Be2VN at its relaxed geometry at the GGA-PBE level of DFT.

Calculated values
Fermi-level density of states in states/eV/f.u.: 1.23
Raw formation energy in eV/f.u.: -0.75
M_tot in μB/atom: 0.00

Cell: 5.944 5.944 4.653 Å, 50.30 50.30 90.00°
Positions (direct):
V1 0.000 0.000 0.000
V2 0.750 0.250 0.500
Be1 0.526 0.125 0.250
Be2 0.875 0.776 0.750
Be3 0.224 0.625 0.250
Be4 0.375 0.474 0.750
N1 0.500 0.500 0.000
N2 0.250 0.750 0.500



Entry 11:
Computed, not measured: crystalline BeVN2 at its relaxed geometry at the GGA-PBE level of DFT.

Calculated values
Fermi-level density of states in states/eV/f.u.: 2.39
Raw formation energy in eV/f.u.: -2.34
M_tot in μB/atom: 0.19

Cell: 5.490 5.490 5.490 Å, 31.36 31.36 31.36°
Last column: magnetic moment on the atom in μB.
Positions (direct):
N1 0.097 0.097 0.097  -0.03
N2 0.903 0.903 0.903  -0.03
Be1 0.000 0.000 0.000  0.01
V1 0.500 0.500 0.500  0.77



Entry 12:
Computed, not measured: crystalline BeV3N at its relaxed geometry at the GGA-PBE level of DFT.

Calculated values
Fermi-level density of states in states/eV/f.u.: 7.15
Raw formation energy in eV/f.u.: -2.14
Distance to the lowest polymorph of the same formula in meV per atom: 0
M_tot in μB/atom: 0.17

Cell: 3.874 3.874 3.874 Å, 90.00 90.00 90.00°
Last column: magnetic moment on the atom in μB.
Positions (direct):
V1 0.000 0.500 0.000  0.26
V2 0.000 0.000 0.500  0.26
V3 0.500 0.000 0.000  0.26
Be1 0.500 0.500 0.500  -0.01
N1 0.000 0.000 0.000  0.00



Entry 13:
Computed, not measured: crystalline BeVN at its relaxed geometry at the GGA-PBE level of DFT.

Calculated values
Fermi-level density of states in states/eV/f.u.: 0.34
Raw formation energy in eV/f.u.: -0.76
Distance to the lowest polymorph of the same formula in meV per atom: 371
M_tot in μB/atom: 0.00

Cell: 2.721 2.721 4.740 Å, 106.68 106.68 90.00°
Positions (direct):
Be1 0.915 0.915 0.830
V1 0.239 0.239 0.478
N1 0.696 0.696 0.393